DFT (PBE with a Hubbard U) results for a relaxed structure of CaVCr2F8.

extended XYZ file:
```
12
Lattice="6.1346 0.5337 0.0000 -2.2424 5.7349 0.0000 -1.9461 -3.1343 4.9302" Properties=species:S:1:pos:R:3 pbc="T T T"
Ca 0.0000 0.0000 0.0000
V -1.1212 2.8675 2.4651
Cr 3.0673 0.2669 2.4651
Cr 1.9461 3.1343 0.0000
F 1.5126 -0.5527 1.5766
F 0.3068 2.3149 0.9604
F -0.0074 -1.8326 3.9698
F 3.0223 -1.4900 3.3536
F 3.5853 3.9537 0.9604
F 4.6220 1.0865 1.5766
F 3.1123 2.0238 3.3536
F 0.0074 1.8326 3.9698
```

Values from the calculation:
VASP energy: -71.1 eV/f.u.
DOS(E_F): 0.907 states/eV per atom